*a*
A plane-wave DFT calculation with GGA-PBE was carried out for an optimized crystal structure of Y2TaFe.

The structure belongs to space group R-3m (No. 166, hexagonal axes); the cell edges are 3.2758, 3.2758 and 28.1599 Å and the angles 90.00°, 90.00° and 120.00°. The distinct sites, in fractional coordinates, are Y at (0.0000, 0.0000, 0.2401), Ta at (0.0000, 0.0000, 0.0000) and Fe at (0.0000, 0.0000, 0.5000).


*b*
A plane-wave DFT calculation with GGA-PBE was carried out for an optimized crystal structure of Y2TaFe.

The structure belongs to space group Immm (No. 71); the cell edges are 3.402, 4.785 and 10.354 Å and the angles 90.00°, 90.00° and 90.00°. The distinct sites, in fractional coordinates, are Y at (0.000, 0.000, 0.202), Ta at (0.000, 0.500, 0.000) and Fe at (0.000, 0.500, 0.500).


So which one is most stable? That would be *b*, about 113 meV/atom below the next structure.


*a*
A plane-wave DFT calculation with GGA-PBE was carried out for an optimized crystal structure of Y2TaFe.

The structure belongs to space group P2/m (No. 10); the cell edges are 3.268, 3.269 and 8.209 Å and the angles 90.00°, 90.06° and 90.00°. The distinct sites, in fractional coordinates, are Y at (0.000, 0.000, 0.224), Ta at (0.500, 0.500, 0.500) and Fe at (0.500, 0.500, 0.000).


*b*
A plane-wave DFT calculation with GGA-PBE was carried out for an optimized crystal structure of Y2TaFe.

The structure belongs to space group Imm2 (No. 44); the cell edges are 3.375, 5.076 and 10.307 Å and the angles 90.00°, 90.00° and 90.00°. The distinct sites, in fractional coordinates, are Y at (0.000, 0.000, 0.000), Y at (0.000, 0.500, 0.209), Ta at (0.000, 0.000, 0.404) and Fe at (0.000, 0.500, 0.738).


So which one is most stable? That would be *b*, about 254 meV/atom below the next structure.


*a*
A plane-wave DFT calculation with GGA-PBE was carried out for an optimized crystal structure of Y2TaFe.

The structure belongs to space group Pm (No. 6); the cell edges are 3.244, 3.237 and 8.533 Å and the angles 90.00°, 90.03° and 90.00°. The distinct sites, in fractional coordinates, are Y at (0.000, 0.000, 0.000), Y at (0.499, 0.500, 0.635), Ta at (0.501, 0.500, 0.265) and Fe at (0.001, 0.000, 0.405).


*b*
A plane-wave DFT calculation with GGA-PBE was carried out for an optimized crystal structure of Y2TaFe.

The structure belongs to space group I-4m2 (No. 119); the cell edges are 4.903, 4.903 and 7.055 Å and the angles 90.00°, 90.00° and 90.00°. The distinct sites, in fractional coordinates, are Y at (0.000, 0.000, 0.000), Y at (0.000, 0.500, 0.250), Ta at (0.000, 0.000, 0.500) and Fe at (0.000, 0.500, 0.750).


So which one is most stable? That would be *a*, about 476 meV/atom below the next structure.


*a*
A plane-wave DFT calculation with GGA-PBE was carried out for an optimized crystal structure of Y2TaFe.

The structure belongs to space group Fm-3m (No. 225); the cell edges are 6.989, 6.989 and 6.989 Å and the angles 90.00°, 90.00° and 90.00°. The distinct sites, in fractional coordinates, are Y at (0.250, 0.250, 0.250), Ta at (0.000, 0.000, 0.000) and Fe at (0.000, 0.000, 0.500).


*b*
A plane-wave DFT calculation with GGA-PBE was carried out for an optimized crystal structure of Y2TaFe.

The structure belongs to space group P4/mmm (No. 123); the cell edges are 4.649, 4.649 and 4.121 Å and the angles 90.00°, 90.00° and 90.00°. The distinct sites, in fractional coordinates, are Y at (0.000, 0.500, 0.000), Ta at (0.000, 0.000, 0.500) and Fe at (0.500, 0.500, 0.500).


So which one is most stable? That would be *b*, about 122 meV/atom below the next structure.